Record 1
Compound: TiTeSe2Br
Source: Alexandria via LeMat-Bulk
Functional: PBE-GGA
Structure: optimized geometry

Calculated values
- energy above the most stable polymorph in this dataset (eV per atom) = 0.000

a b c (Å): 5.053 5.053 4.975
angles (deg): 90.00 90.00 90.00
Each line ends with the local moment (μB).
Sites, in units of the cell vectors:
1 Te 0.500 0.500 0.500  0.30
2 Ti 0.000 0.000 0.000  0.55
3 Se 0.500 0.000 0.000  -0.06
4 Se 0.000 0.500 0.000  -0.06
5 Br 0.000 0.000 0.500  0.00

=====

Record 2
Compound: Ti2TeSeBr
Source: Alexandria via LeMat-Bulk
Functional: PBE-GGA
Structure: optimized geometry

Calculated values
- energy above the most stable polymorph in this dataset (eV per atom) = 0.000

a b c (Å): 5.338 5.381 5.338
angles (deg): 90.00 90.00 90.00
Each line ends with the local moment (μB).
Sites, in units of the cell vectors:
1 Ti 0.500 0.000 0.000  1.53
2 Ti 0.000 0.000 0.500  1.96
3 Br 0.000 0.500 0.000  0.03
4 Se 0.500 0.500 0.500  -0.14
5 Te 0.000 0.000 0.000  -0.08

=====

Record 3
Compound: Ti2TeSeBr
Source: Alexandria via LeMat-Bulk
Functional: PBE-GGA
Structure: optimized geometry

Calculated values
- energy above the most stable polymorph in this dataset (eV per atom) = 0.222

a b c (Å): 4.707 5.909 4.707
angles (deg): 90.00 90.00 90.00
Sites, in units of the cell vectors:
1 Ti 0.000 0.000 0.500
2 Ti 0.500 0.000 0.000
3 Se 0.500 0.500 0.500
4 Br 0.000 0.000 0.000
5 Te 0.000 0.500 0.000

=====

Record 4
Compound: TlTeSeBr2
Source: Alexandria via LeMat-Bulk
Functional: PBE-GGA
Structure: optimized geometry

Calculated values
- energy above the most stable polymorph in this dataset (eV per atom) = 0.000

a b c (Å): 5.684 5.684 5.506
angles (deg): 90.00 90.00 90.00
Sites, in units of the cell vectors:
1 Se 0.000 0.000 0.500
2 Tl 0.500 0.500 0.500
3 Te 0.000 0.000 0.000
4 Br 0.500 0.000 0.000
5 Br 0.000 0.500 0.000

=====

Raw formation energy, respectively: -0.24, 0.60, 0.82, -0.24 eV per atom.